A plane-wave DFT calculation with GGA-PBE was carried out for a geometry-optimized Cr2MoSe structure.

Values from the calculation:
Uncorrected formation energy, eV/atom: 0.338
N(E_F), states/eV per atom: 0.73
Magnetization, μB/atom: 0.905

```
data_Cr2MoSe
_cell_length_a 3.0625
_cell_length_b 3.0625
_cell_length_c 22.7148
_cell_angle_alpha 90.00
_cell_angle_beta 90.00
_cell_angle_gamma 120.00
_space_group_name_H-M_alt 'R -3 m'
_space_group_IT_number 166
_space_group_name_Hall '-R 3 2"'
loop_
_atom_site_label
_atom_site_fract_x
_atom_site_fract_y
_atom_site_fract_z
Cr1 0.0000 0.0000 0.2503
Mo1 0.0000 0.0000 0.0000
Se1 0.0000 0.0000 0.5000
```